Record 1
VASP calculation (GGA-PBE) on an optimized crystal structure of Bi3BBr.

Geometry as CIF:
```
data_Bi3BBr
_symmetry_space_group_name_H-M 'P m -3 m'
_symmetry_Int_Tables_number 221
_symmetry_space_group_name_Hall '-P 4 2 3'
_cell_length_a 5.166
_cell_length_b 5.166
_cell_length_c 5.166
_cell_angle_alpha 90.00
_cell_angle_beta 90.00
_cell_angle_gamma 90.00
loop_
_atom_site_label
_atom_site_fract_x
_atom_site_fract_y
_atom_site_fract_z
Bi1 0.000 0.000 0.500
B1 0.000 0.000 0.000
Br1 0.500 0.500 0.500
```

Computed properties:
Uncorrected energy, eV per formula unit: -16.8
Spin magnetization, μB per formula unit: 0.00
Energy above the lowest structure with this stoichiometry, meV/atom: 0

Record 2
VASP calculation (GGA-PBE) on an optimized crystal structure of Li2Sm2TmSi2.

Geometry as CIF:
```
data_Li2Sm2TmSi2
_symmetry_space_group_name_H-M 'R -3 m'
_symmetry_Int_Tables_number 166
_symmetry_space_group_name_Hall '-R 3 2"'
_cell_length_a 4.3770
_cell_length_b 4.3770
_cell_length_c 28.1175
_cell_angle_alpha 90.00
_cell_angle_beta 90.00
_cell_angle_gamma 120.00
loop_
_atom_site_label
_atom_site_fract_x
_atom_site_fract_y
_atom_site_fract_z
Li1 0.0000 0.0000 0.1119
Sm1 0.0000 0.0000 0.3773
Tm1 0.0000 0.0000 0.5000
Si1 0.0000 0.0000 0.2283
```

Computed properties:
Uncorrected energy, eV per formula unit: -31.3
Spin magnetization, μB per formula unit: 0.00

Record 3
VASP calculation (GGA-PBE) on an optimized crystal structure of Dy12Ho6Pu.

Geometry as CIF:
```
data_Dy12Ho6Pu
_symmetry_space_group_name_H-M 'R -3'
_symmetry_Int_Tables_number 148
_symmetry_space_group_name_Hall '-R 3'
_cell_length_a 12.0954
_cell_length_b 12.0954
_cell_length_c 14.2636
_cell_angle_alpha 90.00
_cell_angle_beta 90.00
_cell_angle_gamma 120.00
loop_
_atom_site_label
_atom_site_fract_x
_atom_site_fract_y
_atom_site_fract_z
Dy1 0.0376 0.8572 0.3096
Dy2 0.0691 0.1997 0.9071
Ho1 0.0306 0.5923 0.2069
Pu1 0.0000 0.0000 0.5000
```

Computed properties:
Uncorrected energy, eV per formula unit: -94.1
Spin magnetization, μB per formula unit: 5.90
E_form, eV/atom: 0.15
Energy above the lowest structure with this stoichiometry, meV/atom: 121

Record 4
VASP calculation (GGA-PBE) on an optimized crystal structure of HgBSe3.

Geometry as CIF:
```
data_HgBSe3
_symmetry_space_group_name_H-M 'P m -3 m'
_symmetry_Int_Tables_number 221
_symmetry_space_group_name_Hall '-P 4 2 3'
_cell_length_a 5.260
_cell_length_b 5.260
_cell_length_c 5.260
_cell_angle_alpha 90.00
_cell_angle_beta 90.00
_cell_angle_gamma 90.00
loop_
_atom_site_label
_atom_site_fract_x
_atom_site_fract_y
_atom_site_fract_z
Hg1 0.000 0.000 0.000
B1 0.500 0.500 0.500
Se1 0.000 0.000 0.500
```

Computed properties:
Uncorrected energy, eV per formula unit: -9.7
Spin magnetization, μB per formula unit: 0.00
Energy above the lowest structure with this stoichiometry, meV/atom: 1654

Record 5
VASP calculation (GGA-PBE) on an optimized crystal structure of SrIn2P2.

Geometry as CIF:
```
data_SrIn2P2
_symmetry_space_group_name_H-M 'I 4/m m m'
_symmetry_Int_Tables_number 139
_symmetry_space_group_name_Hall '-I 4 2'
_cell_length_a 5.079
_cell_length_b 5.079
_cell_length_c 9.652
_cell_angle_alpha 90.00
_cell_angle_beta 90.00
_cell_angle_gamma 90.00
loop_
_atom_site_label
_atom_site_fract_x
_atom_site_fract_y
_atom_site_fract_z
Sr1 0.000 0.000 0.000
In1 0.000 0.000 0.352
P1 0.000 0.500 0.250
```

Computed properties:
Uncorrected energy, eV per formula unit: -19.7
Spin magnetization, μB per formula unit: 0.00
E_form, eV/atom: -0.35

Record 6
VASP calculation (GGA-PBE) on an optimized crystal structure of Cs6HCl2F3.

Geometry as CIF:
```
data_Cs6HCl2F3
_symmetry_space_group_name_H-M 'C 1 2/m 1'
_symmetry_Int_Tables_number 12
_symmetry_space_group_name_Hall '-C 2y'
_cell_length_a 20.104
_cell_length_b 4.562
_cell_length_c 9.253
_cell_angle_alpha 90.00
_cell_angle_beta 104.15
_cell_angle_gamma 90.00
loop_
_atom_site_label
_atom_site_fract_x
_atom_site_fract_y
_atom_site_fract_z
Cs1 0.007 0.000 0.248
Cs2 0.156 0.500 0.104
Cs3 0.169 0.500 0.560
H1 0.000 0.500 0.500
Cl1 0.167 0.000 0.833
F1 0.000 0.500 0.000
F2 0.164 0.000 0.338
```

Computed properties:
Uncorrected energy, eV per formula unit: -41.6
Spin magnetization, μB per formula unit: 0.05

Record 7
VASP calculation (GGA-PBE) on an optimized crystal structure of MgPa2InRh4.

Geometry as CIF:
```
data_MgPa2InRh4
_symmetry_space_group_name_H-M 'R -3 m'
_symmetry_Int_Tables_number 166
_symmetry_space_group_name_Hall '-R 3 2"'
_cell_length_a 4.6882
_cell_length_b 4.6882
_cell_length_c 23.8611
_cell_angle_alpha 90.00
_cell_angle_beta 90.00
_cell_angle_gamma 120.00
loop_
_atom_site_label
_atom_site_fract_x
_atom_site_fract_y
_atom_site_fract_z
Mg1 0.0000 0.0000 0.0000
Pa1 0.0000 0.0000 0.2498
In1 0.0000 0.0000 0.5000
Rh1 0.0000 0.0000 0.1135
Rh2 0.0000 0.0000 0.3760
```

Computed properties:
Uncorrected energy, eV per formula unit: -57.8
Spin magnetization, μB per formula unit: 0.00
E_form, eV/atom: -0.63

Record 8
VASP calculation (GGA-PBE) on an optimized crystal structure of SiSnAu2.

Geometry as CIF:
```
data_SiSnAu2
_symmetry_space_group_name_H-M 'I -4 2 d'
_symmetry_Int_Tables_number 122
_symmetry_space_group_name_Hall 'I -4 2bw'
_cell_length_a 4.719
_cell_length_b 4.719
_cell_length_c 16.064
_cell_angle_alpha 90.00
_cell_angle_beta 90.00
_cell_angle_gamma 90.00
loop_
_atom_site_label
_atom_site_fract_x
_atom_site_fract_y
_atom_site_fract_z
Si1 0.000 0.000 0.000
Sn1 0.000 0.000 0.500
Au1 0.184 0.250 0.125
```

Computed properties:
Uncorrected energy, eV per formula unit: -16.0
Spin magnetization, μB per formula unit: 0.00
Energy above the lowest structure with this stoichiometry, meV/atom: 9

Record 9
VASP calculation (GGA-PBE) on an optimized crystal structure of ScMoIr2.

Geometry as CIF:
```
data_ScMoIr2
_symmetry_space_group_name_H-M 'C 1 2/m 1'
_symmetry_Int_Tables_number 12
_symmetry_space_group_name_Hall '-C 2y'
_cell_length_a 9.312
_cell_length_b 2.810
_cell_length_c 4.936
_cell_angle_alpha 90.00
_cell_angle_beta 99.73
_cell_angle_gamma 90.00
loop_
_atom_site_label
_atom_site_fract_x
_atom_site_fract_y
_atom_site_fract_z
Sc1 0.000 0.000 0.000
Mo1 0.000 0.500 0.500
Ir1 0.248 0.000 0.738
```

Computed properties:
Uncorrected energy, eV per formula unit: -35.7
Spin magnetization, μB per formula unit: 0.00
E_form, eV/atom: -0.20
Energy above the lowest structure with this stoichiometry, meV/atom: 318

Record 10
VASP calculation (GGA-PBE) on an optimized crystal structure of Li3ThSe4O12.

Geometry as CIF:
```
data_Li3ThSe4O12
_symmetry_space_group_name_H-M 'R 3 2'
_symmetry_Int_Tables_number 155
_symmetry_space_group_name_Hall 'R 3 2"'
_cell_length_a 10.8212
_cell_length_b 10.8212
_cell_length_c 7.8830
_cell_angle_alpha 90.00
_cell_angle_beta 90.00
_cell_angle_gamma 120.00
loop_
_atom_site_label
_atom_site_fract_x
_atom_site_fract_y
_atom_site_fract_z
Li1 0.0000 0.5782 0.0000
Th1 0.0000 0.0000 0.0000
Se1 0.0000 0.0000 0.5000
Se2 0.0000 0.3951 0.5000
O1 0.0000 0.5510 0.5000
O2 0.0000 0.8477 0.5000
O3 0.0539 0.1892 0.1869
```

Computed properties:
Uncorrected energy, eV per formula unit: -110.6
Spin magnetization, μB per formula unit: 0.00

Record 11
VASP calculation (GGA-PBE) on an optimized crystal structure of CePmPbN.

Geometry as CIF:
```
data_CePmPbN
_symmetry_space_group_name_H-M 'P 4/n m m'
_symmetry_Int_Tables_number 129
_cell_length_a 4.653
_cell_length_b 4.653
_cell_length_c 9.212
_cell_angle_alpha 90.00
_cell_angle_beta 90.00
_cell_angle_gamma 90.00
loop_
_symmetry_equiv_pos_as_xyz
'x,y,z'
'-x,-y,-z'
'-y+1/2,x,z'
'y+1/2,-x,-z'
'-x+1/2,-y+1/2,z'
'x+1/2,y+1/2,-z'
'y,-x+1/2,z'
'-y,x+1/2,-z'
'x+1/2,-y,-z'
'-x+1/2,y,z'
'-y,-x,-z'
'y,x,z'
'-x,y+1/2,-z'
'x,-y+1/2,z'
'y+1/2,x+1/2,-z'
'-y+1/2,-x+1/2,z'
loop_
_atom_site_label
_atom_site_fract_x
_atom_site_fract_y
_atom_site_fract_z
Ce1 0.250 0.750 0.000
Pm1 0.250 0.250 0.332
Pb1 0.250 0.250 0.701
N1 0.250 0.250 0.078
```

Computed properties:
Uncorrected energy, eV per formula unit: -26.7
Spin magnetization, μB per formula unit: 0.21

Question: What is the formula in the fifth record?
Answer: SrIn2P2

Copy entry 2 word for word.
VASP calculation (GGA-PBE) on an optimized crystal structure of Li2Sm2TmSi2.

Geometry as CIF:
```
data_Li2Sm2TmSi2
_symmetry_space_group_name_H-M 'R -3 m'
_symmetry_Int_Tables_number 166
_symmetry_space_group_name_Hall '-R 3 2"'
_cell_length_a 4.3770
_cell_length_b 4.3770
_cell_length_c 28.1175
_cell_angle_alpha 90.00
_cell_angle_beta 90.00
_cell_angle_gamma 120.00
loop_
_atom_site_label
_atom_site_fract_x
_atom_site_fract_y
_atom_site_fract_z
Li1 0.0000 0.0000 0.1119
Sm1 0.0000 0.0000 0.3773
Tm1 0.0000 0.0000 0.5000
Si1 0.0000 0.0000 0.2283
```

Computed properties:
Uncorrected energy, eV per formula unit: -31.3
Spin magnetization, μB per formula unit: 0.00

Question: The highest spin magnetization belongs to which entry?
Answer: Dy12Ho6Pu

Question: Among the records above, which one has the highest uncorrected energy?
Answer: HgBSe3